# NdCoCN | Alexandria | PBE-GGA | optimized geometry
# Total DFT energy (no corrections) in eV/atom: -7.92
# Density of states at the Fermi level in states/eV/f.u.: 1.5
# Symmetry: P4/nmm
# Uncorrected formation energy in meV per atom: -569
data_NdCoCN
_symmetry_space_group_name_H-M 'P 1'
_symmetry_Int_Tables_number 1
_cell_length_a 3.5699
_cell_length_b 3.5699
_cell_length_c 7.4260
_cell_angle_alpha 90.00
_cell_angle_beta 90.00
_cell_angle_gamma 90.00
loop_
_symmetry_equiv_pos_as_xyz
'x,y,z'
loop_
_atom_site_label
_atom_site_type_symbol
_atom_site_fract_x
_atom_site_fract_y
_atom_site_fract_z
_atom_site_occupancy
N1 N 0.0000 0.5000 0.1623 1
C1 C 0.5000 0.0000 0.6468 1
C2 C 0.0000 0.5000 0.3532 1
Nd1 Nd 0.0000 0.5000 0.8209 1
N2 N 0.5000 0.0000 0.8377 1
Nd2 Nd 0.5000 0.0000 0.1791 1
Co1 Co 0.5000 0.5000 0.5000 1
Co2 Co 0.0000 0.0000 0.5000 1